#P
The following is a PBE calculation of a geometry-optimized ZrInB structure, from OQMD.

Computed properties:
Magnetization: 0.00 Bohr magnetons per cell

Cell: 6.362 6.362 6.362 Å, 90.00 90.00 90.00°
Space group F-43m (No. 216)
Asymmetric unit:
Zr 0.000 0.000 0.000
In 0.250 0.250 0.250
B 0.250 0.250 0.750

#Q
The following is a PBE calculation of a geometry-optimized ZrInB structure, from OQMD.

Computed properties:
Magnetization: 0.01 Bohr magnetons per cell

Cell: 5.882 5.882 5.882 Å, 90.00 90.00 90.00°
Space group F-43m (No. 216)
Asymmetric unit:
Zr 0.000 0.000 0.000
In 0.000 0.000 0.500
B 0.250 0.250 0.750

What is the least stable structure shown above? It is #P.